(one)
Below is crystalline MgHSe2 at its relaxed geometry, with properties calculated at the PBE level.

a = 6.461 Å, b = 6.461 Å, c = 6.461 Å
α = 37.64°, β = 37.64°, γ = 37.64°
Fractional coordinates of all 4 atoms:
Mg: 0.000 0.000 0.000
H: 0.500 0.500 0.500
Se: 0.404 0.404 0.404
Se: 0.596 0.596 0.596

## Properties
As for the volume: 22.56 Å³ per atom. As for the crystal system: trigonal.

(two)
Below is crystalline MgHSe2 at its relaxed geometry, with properties calculated at the PBE level.

a = 4.616 Å, b = 4.616 Å, c = 4.616 Å
α = 60.00°, β = 60.00°, γ = 60.00°
Fractional coordinates of all 4 atoms:
Mg: 0.000 0.000 0.000
H: 0.500 0.500 0.500
Se: 0.250 0.250 0.250
Se: 0.750 0.750 0.750

## Properties
As for the volume: 17.39 Å³ per atom. As for the crystal system: cubic.

(three)
Below is crystalline MgHSe2 at its relaxed geometry, with properties calculated at the PBE level.

a = 5.998 Å, b = 5.998 Å, c = 5.998 Å
α = 121.24°, β = 121.24°, γ = 87.87°
Fractional coordinates of all 8 atoms:
Mg: 0.000 0.000 0.000
Mg: 0.750 0.250 0.500
H: 0.250 0.750 0.500
H: 0.500 0.500 0.000
Se: 0.201 0.625 0.076
Se: 0.375 0.451 0.576
Se: 0.549 0.125 0.924
Se: 0.875 0.799 0.424

## Properties
As for the volume: 18.70 Å³ per atom. As for the crystal system: tetragonal.

Bottom line: (one), by a margin of 280 meV/atom.

(one)
Below is crystalline MgSiH at its relaxed geometry, with properties calculated at the PBE level.

a = 5.373 Å, b = 5.373 Å, c = 5.375 Å
α = 99.60°, β = 99.60°, γ = 32.34°
Fractional coordinates of all 6 atoms:
Mg: 0.138 0.138 0.289
Mg: 0.862 0.862 0.711
Si: 0.407 0.407 0.282
Si: 0.593 0.593 0.718
H: 0.340 0.340 0.982
H: 0.660 0.660 0.018

## Properties
As for the volume: 13.62 Å³ per atom. As for the crystal system: monoclinic.

(two)
Below is crystalline MgSiH at its relaxed geometry, with properties calculated at the PBE level.

a = 3.358 Å, b = 3.358 Å, c = 6.803 Å
α = 90.00°, β = 90.00°, γ = 90.00°
Fractional coordinates of all 6 atoms:
Mg: 0.250 0.250 0.161
Mg: 0.750 0.750 0.839
Si: 0.250 0.250 0.568
Si: 0.750 0.750 0.432
H: 0.250 0.750 0.000
H: 0.750 0.250 0.000

## Properties
As for the volume: 12.79 Å³ per atom. As for the crystal system: tetragonal.

Bottom line: (two), by a margin of 177 meV/atom.

(one)
Below is crystalline MgSiH at its relaxed geometry, with properties calculated at the PBE level.

a = 7.092 Å, b = 7.092 Å, c = 7.092 Å
α = 151.26°, β = 151.26°, γ = 41.09°
Fractional coordinates of all 6 atoms:
Mg: 0.168 0.168 0.000
Mg: 0.832 0.832 0.000
Si: 0.000 0.500 0.500
Si: 0.500 0.000 0.500
H: 0.250 0.750 0.500
H: 0.750 0.250 0.500

## Properties
As for the volume: 13.72 Å³ per atom. As for the crystal system: tetragonal.

(two)
Below is crystalline MgSiH at its relaxed geometry, with properties calculated at the PBE level.

a = 3.203 Å, b = 3.521 Å, c = 7.494 Å
α = 90.00°, β = 90.00°, γ = 90.00°
Fractional coordinates of all 6 atoms:
Mg: 0.250 0.250 0.153
Mg: 0.750 0.750 0.847
Si: 0.250 0.750 0.553
Si: 0.750 0.250 0.447
H: 0.250 0.750 0.038
H: 0.750 0.250 0.962

## Properties
As for the volume: 14.09 Å³ per atom. As for the crystal system: orthorhombic.

Bottom line: (two), by a margin of 13 meV/atom.

(one)
Below is crystalline MgSiH2 at its relaxed geometry, with properties calculated at the PBE level.

a = 3.890 Å, b = 3.890 Å, c = 3.890 Å
α = 60.00°, β = 60.00°, γ = 60.00°
Fractional coordinates of all 4 atoms:
Mg: 0.000 0.000 0.000
Si: 0.500 0.500 0.500
H: 0.250 0.250 0.250
H: 0.750 0.750 0.750

## Properties
As for the volume: 10.40 Å³ per atom. As for the crystal system: cubic.

(two)
Below is crystalline MgSiH2 at its relaxed geometry, with properties calculated at the PBE level.

a = 6.414 Å, b = 6.414 Å, c = 6.414 Å
α = 144.14°, β = 144.14°, γ = 51.62°
Fractional coordinates of all 8 atoms:
Mg: 0.000 0.000 0.000
Mg: 0.750 0.250 0.500
Si: 0.250 0.750 0.500
Si: 0.500 0.500 0.000
H: 0.245 0.625 0.120
H: 0.375 0.495 0.620
H: 0.505 0.125 0.880
H: 0.875 0.755 0.380

## Properties
As for the volume: 11.26 Å³ per atom. As for the crystal system: tetragonal.

Bottom line: (two), by a margin of 208 meV/atom.

(one)
Below is crystalline MgSi2H at its relaxed geometry, with properties calculated at the PBE level.

a = 4.342 Å, b = 4.342 Å, c = 4.342 Å
α = 60.00°, β = 60.00°, γ = 60.00°
Fractional coordinates of all 4 atoms:
Mg: 0.000 0.000 0.000
Si: 0.250 0.250 0.250
Si: 0.750 0.750 0.750
H: 0.500 0.500 0.500

## Properties
As for the volume: 14.47 Å³ per atom. As for the crystal system: cubic.

(two)
Below is crystalline MgSi2H at its relaxed geometry, with properties calculated at the PBE level.

a = 6.377 Å, b = 6.377 Å, c = 6.377 Å
α = 135.32°, β = 135.32°, γ = 65.03°
Fractional coordinates of all 8 atoms:
Mg: 0.000 0.000 0.000
Mg: 0.750 0.250 0.500
Si: 0.320 0.625 0.195
Si: 0.375 0.570 0.695
Si: 0.430 0.125 0.805
Si: 0.875 0.680 0.305
H: 0.250 0.750 0.500
H: 0.500 0.500 0.000

## Properties
As for the volume: 15.79 Å³ per atom. As for the crystal system: tetragonal.

Bottom line: (two), by a margin of 280 meV/atom.

(one)
Below is crystalline MgSi3H at its relaxed geometry, with properties calculated at the PBE level.

a = 4.949 Å, b = 4.949 Å, c = 4.949 Å
α = 90.00°, β = 90.00°, γ = 90.00°
Fractional coordinates of all 5 atoms:
Mg: 0.000 0.000 0.000
Si: 0.000 0.000 0.500
Si: 0.000 0.500 0.000
Si: 0.500 0.000 0.000
H: 0.500 0.500 0.500

## Properties
As for the volume: 24.24 Å³ per atom. As for the crystal system: cubic.

(two)
Below is crystalline MgSi3H at its relaxed geometry, with properties calculated at the PBE level.

a = 4.054 Å, b = 4.054 Å, c = 4.054 Å
α = 90.00°, β = 90.00°, γ = 90.00°
Fractional coordinates of all 5 atoms:
Mg: 0.000 0.000 0.000
Si: 0.000 0.500 0.500
Si: 0.500 0.000 0.500
Si: 0.500 0.500 0.000
H: 0.500 0.500 0.500

## Properties
As for the volume: 13.33 Å³ per atom. As for the crystal system: cubic.

Bottom line: (two), by a margin of 1195 meV/atom.

(one)
Below is crystalline MgSiH3 at its relaxed geometry, with properties calculated at the PBE level.

a = 3.687 Å, b = 3.687 Å, c = 3.687 Å
α = 90.00°, β = 90.00°, γ = 90.00°
Fractional coordinates of all 5 atoms:
Mg: 0.000 0.000 0.000
Si: 0.500 0.500 0.500
H: 0.000 0.000 0.500
H: 0.000 0.500 0.000
H: 0.500 0.000 0.000

## Properties
As for the volume: 10.03 Å³ per atom. As for the crystal system: cubic.

(two)
Below is crystalline MgSiH3 at its relaxed geometry, with properties calculated at the PBE level.

a = 3.664 Å, b = 3.664 Å, c = 3.664 Å
α = 90.00°, β = 90.00°, γ = 90.00°
Fractional coordinates of all 5 atoms:
Mg: 0.000 0.000 0.000
Si: 0.500 0.500 0.500
H: 0.000 0.500 0.500
H: 0.500 0.000 0.500
H: 0.500 0.500 0.000

## Properties
As for the volume: 9.84 Å³ per atom. As for the crystal system: cubic.

Bottom line: (two), by a margin of 123 meV/atom.

(one)
Below is crystalline Mg2SiH at its relaxed geometry, with properties calculated at the PBE level.

a = 6.881 Å, b = 6.881 Å, c = 6.881 Å
α = 33.13°, β = 33.13°, γ = 33.13°
Fractional coordinates of all 4 atoms:
Mg: 0.093 0.093 0.093
Mg: 0.907 0.907 0.907
Si: 0.500 0.500 0.500
H: 0.000 0.000 0.000

## Properties
As for the volume: 21.65 Å³ per atom. As for the crystal system: trigonal.

(two)
Below is crystalline Mg2SiH at its relaxed geometry, with properties calculated at the PBE level.

a = 4.469 Å, b = 4.469 Å, c = 4.469 Å
α = 60.00°, β = 60.00°, γ = 60.00°
Fractional coordinates of all 4 atoms:
Mg: 0.250 0.250 0.250
Mg: 0.750 0.750 0.750
Si: 0.000 0.000 0.000
H: 0.500 0.500 0.500

## Properties
As for the volume: 15.78 Å³ per atom. As for the crystal system: cubic.

(three)
Below is crystalline Mg2SiH at its relaxed geometry, with properties calculated at the PBE level.

a = 6.523 Å, b = 6.523 Å, c = 6.523 Å
α = 133.31°, β = 133.31°, γ = 68.16°
Fractional coordinates of all 8 atoms:
Mg: 0.012 0.625 0.887
Mg: 0.375 0.262 0.387
Mg: 0.738 0.125 0.113
Mg: 0.875 0.988 0.613
Si: 0.250 0.750 0.500
Si: 0.500 0.500 0.000
H: 0.000 0.000 0.000
H: 0.750 0.250 0.500

## Properties
As for the volume: 18.05 Å³ per atom. As for the crystal system: tetragonal.

Bottom line: (one), by a margin of 126 meV/atom.